Record 1
# ZnCrTe2 (GGA-PBEsol, relaxed)
data_ZnCrTe2
_space_group_name_H-M_alt 'I -4 m 2'
_space_group_IT_number 119
_space_group_name_Hall 'I -4 -2'
_cell_length_a 3.9052
_cell_length_b 3.9052
_cell_length_c 11.9570
_cell_angle_alpha 90.00
_cell_angle_beta 90.00
_cell_angle_gamma 90.00
loop_
_atom_site_label
_atom_site_fract_x
_atom_site_fract_y
_atom_site_fract_z
Zn1 0.0000 0.0000 0.0000
Cr1 0.0000 0.5000 0.2500
Te1 0.0000 0.0000 0.5000
Te2 0.0000 0.5000 0.7500
# Energy relative to the elements, uncorrected: 0.2839 eV per atom
# V: 22.794 Å³/atom
# DOS(E_F): 0.58 states/eV per atom
# VASP energy: -35.48 eV per cell

---

Record 2
# La2MnPt (GGA-PBEsol, relaxed)
data_La2MnPt
_space_group_name_H-M_alt 'C m m m'
_space_group_IT_number 65
_space_group_name_Hall '-C 2 2'
_cell_length_a 7.2285
_cell_length_b 7.2420
_cell_length_c 3.5524
_cell_angle_alpha 90.00
_cell_angle_beta 90.00
_cell_angle_gamma 90.00
loop_
_atom_site_label
_atom_site_fract_x
_atom_site_fract_y
_atom_site_fract_z
La1 0.2500 0.2500 0.0000
Mn1 0.0000 0.0000 0.5000
Pt1 0.0000 0.5000 0.5000
# Energy of formation: -244.7 meV/atom
# V: 23.245 Å³/atom
# DOS(E_F): 1.13 states/eV per atom
# VASP energy: -56.79 eV per cell

---

Record 3
# Sc2Ga2Rh (GGA-PBEsol, relaxed)
data_Sc2Ga2Rh
_space_group_name_H-M_alt 'P 4/m b m'
_space_group_IT_number 127
_space_group_name_Hall '-P 4 2ab'
_cell_length_a 6.6443
_cell_length_b 6.6443
_cell_length_c 3.8706
_cell_angle_alpha 90.00
_cell_angle_beta 90.00
_cell_angle_gamma 90.00
loop_
_atom_site_label
_atom_site_fract_x
_atom_site_fract_y
_atom_site_fract_z
Sc1 0.1730 0.3270 0.0000
Ga1 0.1326 0.6326 0.5000
Rh1 0.0000 0.0000 0.5000
# Energy of formation: -748.0 meV/atom
# V: 17.088 Å³/atom
# DOS(E_F): 0.59 states/eV per atom
# VASP energy: -63.54 eV per cell

---

Record 4
# Ti2CuNi (GGA-PBEsol, relaxed)
data_Ti2CuNi
_space_group_name_H-M_alt 'P m m 2'
_space_group_IT_number 25
_cell_length_a 2.6464
_cell_length_b 4.3206
_cell_length_c 4.6374
_cell_angle_alpha 90.00
_cell_angle_beta 90.00
_cell_angle_gamma 90.00
loop_
_space_group_symop_operation_xyz
'x,y,z'
'-x,-y,z'
'-x,y,z'
'x,-y,z'
loop_
_atom_site_label
_atom_site_fract_x
_atom_site_fract_y
_atom_site_fract_z
Ti1 0.0000 0.0000 0.0000
Ti2 0.0000 0.5000 0.4091
Cu1 0.5000 0.0000 0.5290
Ni1 0.5000 0.5000 0.8841
# Energy of formation: -228.2 meV/atom
# V: 13.256 Å³/atom
# DOS(E_F): 0.87 states/eV per atom
# VASP energy: -28.05 eV per cell

---

Record 5
# NbZnMo3 (GGA-PBEsol, relaxed)
data_NbZnMo3
_space_group_name_H-M_alt 'P m -3 m'
_space_group_IT_number 221
_space_group_name_Hall '-P 4 2 3'
_cell_length_a 4.4854
_cell_length_b 4.4854
_cell_length_c 4.4854
_cell_angle_alpha 90.00
_cell_angle_beta 90.00
_cell_angle_gamma 90.00
loop_
_atom_site_label
_atom_site_fract_x
_atom_site_fract_y
_atom_site_fract_z
Nb1 0.0000 0.0000 0.0000
Zn1 0.5000 0.5000 0.5000
Mo1 0.0000 0.5000 0.5000
# Energy of formation: 1620.8 meV/atom
# V: 18.049 Å³/atom
# DOS(E_F): 1.37 states/eV per atom
# VASP energy: -39.60 eV per cell

---

Record 6
# CrOsPb2 (GGA-PBEsol, relaxed)
data_CrOsPb2
_space_group_name_H-M_alt 'P 4 m m'
_space_group_IT_number 99
_cell_length_a 3.0371
_cell_length_b 3.0371
_cell_length_c 8.8492
_cell_angle_alpha 90.00
_cell_angle_beta 90.00
_cell_angle_gamma 90.00
loop_
_space_group_symop_operation_xyz
'x,y,z'
'-y,x,z'
'-x,-y,z'
'y,-x,z'
'-x,y,z'
'y,x,z'
'x,-y,z'
'-y,-x,z'
loop_
_atom_site_label
_atom_site_fract_x
_atom_site_fract_y
_atom_site_fract_z
Cr1 0.0000 0.0000 0.0000
Os1 0.5000 0.5000 0.1368
Pb1 0.0000 0.0000 0.3845
Pb2 0.5000 0.5000 0.7608
# Energy of formation: 415.2 meV/atom
# V: 20.406 Å³/atom
# Excess energy over the best structure of this formula in the dataset: 0.0 meV/atom
# DOS(E_F): 0.59 states/eV per atom
# VASP energy: -28.79 eV per cell

---

Record 7
# SrCr2Tc2 (GGA-PBEsol, relaxed)
data_SrCr2Tc2
_space_group_name_H-M_alt 'I 4/m m m'
_space_group_IT_number 139
_space_group_name_Hall '-I 4 2'
_cell_length_a 4.1220
_cell_length_b 4.1220
_cell_length_c 10.3128
_cell_angle_alpha 90.00
_cell_angle_beta 90.00
_cell_angle_gamma 90.00
loop_
_atom_site_label
_atom_site_fract_x
_atom_site_fract_y
_atom_site_fract_z
Sr1 0.0000 0.0000 0.0000
Cr1 0.0000 0.5000 0.2500
Tc1 0.0000 0.0000 0.3674
# Energy of formation: 499.1 meV/atom
# V: 17.522 Å³/atom
# DOS(E_F): 1.18 states/eV per atom
# VASP energy: -84.72 eV per cell

---

Record 8
# Sc3NbPd (GGA-PBEsol, relaxed)
data_Sc3NbPd
_space_group_name_H-M_alt 'P m -3 m'
_space_group_IT_number 221
_space_group_name_Hall '-P 4 2 3'
_cell_length_a 4.8986
_cell_length_b 4.8986
_cell_length_c 4.8986
_cell_angle_alpha 90.00
_cell_angle_beta 90.00
_cell_angle_gamma 90.00
loop_
_atom_site_label
_atom_site_fract_x
_atom_site_fract_y
_atom_site_fract_z
Sc1 0.0000 0.0000 0.5000
Nb1 0.5000 0.5000 0.5000
Pd1 0.0000 0.0000 0.0000
# Energy of formation: 403.1 meV/atom
# V: 23.509 Å³/atom
# DOS(E_F): 1.20 states/eV per atom
# VASP energy: -34.58 eV per cell

---

Record 9
# LaBO2F (GGA-PBEsol, relaxed)
data_LaBO2F
_space_group_name_H-M_alt 'P 4/m m m'
_space_group_IT_number 123
_space_group_name_Hall '-P 4 2'
_cell_length_a 3.6089
_cell_length_b 3.6089
_cell_length_c 3.9139
_cell_angle_alpha 90.00
_cell_angle_beta 90.00
_cell_angle_gamma 90.00
loop_
_atom_site_label
_atom_site_fract_x
_atom_site_fract_y
_atom_site_fract_z
La1 0.0000 0.0000 0.0000
B1 0.5000 0.5000 0.5000
O1 0.0000 0.5000 0.5000
F1 0.5000 0.5000 0.0000
# Energy relative to the elements, uncorrected: -1.9834 eV per atom
# V: 10.195 Å³/atom
# DOS(E_F): 0.30 states/eV per atom
# VASP energy: -34.71 eV per cell

---

Record 10
# CeAl3Ni2 (GGA-PBEsol, relaxed)
data_CeAl3Ni2
_space_group_name_H-M_alt 'P 6/m m m'
_space_group_IT_number 191
_space_group_name_Hall '-P 6 2'
_cell_length_a 5.2245
_cell_length_b 5.2245
_cell_length_c 3.9971
_cell_angle_alpha 90.00
_cell_angle_beta 90.00
_cell_angle_gamma 120.00
loop_
_atom_site_label
_atom_site_fract_x
_atom_site_fract_y
_atom_site_fract_z
Ce1 0.0000 0.0000 0.0000
Al1 0.0000 0.5000 0.5000
Ni1 0.3333 0.6667 0.0000
# Energy of formation: -579.6 meV/atom
# V: 15.747 Å³/atom
# DOS(E_F): 0.79 states/eV per atom
# VASP energy: -34.66 eV per cell

---

Record 11
# TaIr3Se (GGA-PBEsol, relaxed)
data_TaIr3Se
_space_group_name_H-M_alt 'P m -3 m'
_space_group_IT_number 221
_space_group_name_Hall '-P 4 2 3'
_cell_length_a 4.7312
_cell_length_b 4.7312
_cell_length_c 4.7312
_cell_angle_alpha 90.00
_cell_angle_beta 90.00
_cell_angle_gamma 90.00
loop_
_atom_site_label
_atom_site_fract_x
_atom_site_fract_y
_atom_site_fract_z
Ta1 0.0000 0.0000 0.0000
Ir1 0.0000 0.0000 0.5000
Se1 0.5000 0.5000 0.5000
# Energy relative to the elements, uncorrected: 1.8216 eV per atom
# V: 21.181 Å³/atom
# DOS(E_F): 1.44 states/eV per atom
# VASP energy: -36.76 eV per cell

---

Record 12
# TlSiNi2 (GGA-PBEsol, relaxed)
data_TlSiNi2
_space_group_name_H-M_alt 'F m -3 m'
_space_group_IT_number 225
_space_group_name_Hall '-F 4 2 3'
_cell_length_a 6.0280
_cell_length_b 6.0280
_cell_length_c 6.0280
_cell_angle_alpha 90.00
_cell_angle_beta 90.00
_cell_angle_gamma 90.00
loop_
_atom_site_label
_atom_site_fract_x
_atom_site_fract_y
_atom_site_fract_z
Tl1 0.0000 0.0000 0.0000
Si1 0.0000 0.0000 0.5000
Ni1 0.2500 0.2500 0.2500
# Energy relative to the elements, uncorrected: 0.1335 eV per atom
# V: 13.690 Å³/atom
# DOS(E_F): 0.41 states/eV per atom
# VASP energy: -80.63 eV per cell

---

Record 13
# ScTl2Cd (GGA-PBEsol, relaxed)
data_ScTl2Cd
_space_group_name_H-M_alt 'P 1 2/m 1'
_space_group_IT_number 10
_cell_length_a 5.1897
_cell_length_b 3.4394
_cell_length_c 5.5398
_cell_angle_alpha 90.00
_cell_angle_beta 109.37
_cell_angle_gamma 90.00
loop_
_space_group_symop_operation_xyz
'x,y,z'
'-x,-y,-z'
'-x,y,-z'
'x,-y,z'
loop_
_atom_site_label
_atom_site_fract_x
_atom_site_fract_y
_atom_site_fract_z
Sc1 0.0000 0.0000 0.0000
Tl1 0.5000 0.0000 0.5000
Tl2 0.5000 0.5000 0.0000
Cd1 0.0000 0.5000 0.5000
# Energy of formation: -153.4 meV/atom
# V: 23.320 Å³/atom
# Excess energy over the best structure of this formula in the dataset: 59.4 meV/atom
# DOS(E_F): 0.51 states/eV per atom
# VASP energy: -13.68 eV per cell

---

Record 14
# MnCo2Au (GGA-PBEsol, relaxed)
data_MnCo2Au
_space_group_name_H-M_alt 'F -4 3 m'
_space_group_IT_number 216
_space_group_name_Hall 'F -4 2 3'
_cell_length_a 5.9119
_cell_length_b 5.9119
_cell_length_c 5.9119
_cell_angle_alpha 90.00
_cell_angle_beta 90.00
_cell_angle_gamma 90.00
loop_
_atom_site_label
_atom_site_fract_x
_atom_site_fract_y
_atom_site_fract_z
Mn1 0.0000 0.0000 0.0000
Co1 0.0000 0.0000 0.5000
Co2 0.2500 0.2500 0.2500
Au1 0.2500 0.2500 0.7500
# Energy of formation: 269.2 meV/atom
# V: 12.914 Å³/atom
# DOS(E_F): 1.05 states/eV per atom
# VASP energy: -112.33 eV per cell